# TlCdHg, optimized geometry, DFT PBE
# Energy above the lowest structure with this stoichiometry, meV/atom: 0
# ρ, g/cm³: 10.616
# Uncorrected energy, eV/atom: -1.1650
data_TlCdHg
_cell_length_a 6.655
_cell_length_b 4.807
_cell_length_c 10.119
_cell_angle_alpha 90.00
_cell_angle_beta 90.00
_cell_angle_gamma 90.00
_space_group_name_H-M_alt 'P 1'
_space_group_IT_number 1
loop_
_space_group_symop_operation_xyz
'x,y,z'
loop_
_atom_site_label
_atom_site_type_symbol
_atom_site_fract_x
_atom_site_fract_y
_atom_site_fract_z
Cd1 Cd 0.412 0.250 0.224
Cd2 Cd 0.912 0.250 0.276
Cd3 Cd 0.088 0.750 0.724
Cd4 Cd 0.588 0.750 0.776
Hg1 Hg 0.658 0.750 0.115
Hg2 Hg 0.158 0.750 0.385
Hg3 Hg 0.842 0.250 0.615
Hg4 Hg 0.342 0.250 0.885
Tl1 Tl 0.162 0.750 0.062
Tl2 Tl 0.662 0.750 0.438
Tl3 Tl 0.338 0.250 0.562
Tl4 Tl 0.838 0.250 0.938

***

# TlCdHg, optimized geometry, DFT PBE
# Energy above the lowest structure with this stoichiometry, meV/atom: 78
# ρ, g/cm³: 9.203
# Uncorrected energy, eV/atom: -1.0873
data_TlCdHg
_cell_length_a 5.092
_cell_length_b 5.092
_cell_length_c 5.092
_cell_angle_alpha 60.00
_cell_angle_beta 60.00
_cell_angle_gamma 60.00
_space_group_name_H-M_alt 'P 1'
_space_group_IT_number 1
loop_
_space_group_symop_operation_xyz
'x,y,z'
loop_
_atom_site_label
_atom_site_type_symbol
_atom_site_fract_x
_atom_site_fract_y
_atom_site_fract_z
Cd1 Cd 0.250 0.250 0.250
Hg1 Hg 0.750 0.750 0.750
Tl1 Tl 0.000 0.000 0.000

***

# TlCdHg2, optimized geometry, DFT PBE
# ρ, g/cm³: 11.025
# Uncorrected energy, eV/atom: -0.9400
data_TlCdHg2
_cell_length_a 5.348
_cell_length_b 5.348
_cell_length_c 5.348
_cell_angle_alpha 60.00
_cell_angle_beta 60.00
_cell_angle_gamma 60.00
_space_group_name_H-M_alt 'P 1'
_space_group_IT_number 1
loop_
_space_group_symop_operation_xyz
'x,y,z'
loop_
_atom_site_label
_atom_site_type_symbol
_atom_site_fract_x
_atom_site_fract_y
_atom_site_fract_z
Cd1 Cd 0.250 0.250 0.250
Hg1 Hg 0.000 0.000 0.000
Hg2 Hg 0.750 0.750 0.750
Tl1 Tl 0.500 0.500 0.500

***

# Tl2CdHg, optimized geometry, DFT PBE
# ρ, g/cm³: 10.725
# Uncorrected energy, eV/atom: -1.4324
data_Tl2CdHg
_cell_length_a 5.407
_cell_length_b 5.407
_cell_length_c 5.407
_cell_angle_alpha 60.00
_cell_angle_beta 60.00
_cell_angle_gamma 60.00
_space_group_name_H-M_alt 'P 1'
_space_group_IT_number 1
loop_
_space_group_symop_operation_xyz
'x,y,z'
loop_
_atom_site_label
_atom_site_type_symbol
_atom_site_fract_x
_atom_site_fract_y
_atom_site_fract_z
Cd1 Cd 0.750 0.750 0.750
Hg1 Hg 0.500 0.500 0.500
Tl1 Tl 0.000 0.000 0.000
Tl2 Tl 0.250 0.250 0.250

***

# TlCdHg6, optimized geometry, DFT PBE
# ρ, g/cm³: 11.382
# Uncorrected energy, eV/atom: -0.6379
data_TlCdHg6
_cell_length_a 5.570
_cell_length_b 6.783
_cell_length_c 6.783
_cell_angle_alpha 59.96
_cell_angle_beta 90.00
_cell_angle_gamma 90.00
_space_group_name_H-M_alt 'P 1'
_space_group_IT_number 1
loop_
_space_group_symop_operation_xyz
'x,y,z'
loop_
_atom_site_label
_atom_site_type_symbol
_atom_site_fract_x
_atom_site_fract_y
_atom_site_fract_z
Cd1 Cd 0.000 0.915 0.915
Hg1 Hg 0.500 0.080 0.080
Hg2 Hg 0.500 0.585 0.083
Hg3 Hg 0.000 0.926 0.412
Hg4 Hg 0.000 0.415 0.415
Hg5 Hg 0.500 0.083 0.585
Hg6 Hg 0.000 0.412 0.926
Tl1 Tl 0.500 0.585 0.585

***

# TlCd2Hg, optimized geometry, DFT PBE
# ρ, g/cm³: 10.156
# Uncorrected energy, eV/atom: -1.0631
data_TlCd2Hg
_cell_length_a 5.261
_cell_length_b 5.261
_cell_length_c 5.261
_cell_angle_alpha 60.00
_cell_angle_beta 60.00
_cell_angle_gamma 60.00
_space_group_name_H-M_alt 'P 1'
_space_group_IT_number 1
loop_
_space_group_symop_operation_xyz
'x,y,z'
loop_
_atom_site_label
_atom_site_type_symbol
_atom_site_fract_x
_atom_site_fract_y
_atom_site_fract_z
Cd1 Cd 0.000 0.000 0.000
Cd2 Cd 0.750 0.750 0.750
Hg1 Hg 0.250 0.250 0.250
Tl1 Tl 0.500 0.500 0.500